An optimized crystal structure of BaMoSe3. Source: Alexandria, functional GGA-PBE.

Cell lengths 5.0705, 5.0705, 5.0705 Å; angles 90.00, 90.00, 90.00 degrees
Fractional coordinates of all 5 atoms:
Se1 0.0000 0.0000 0.5000
Se2 0.0000 0.5000 0.0000
Se3 0.5000 0.0000 0.0000
Mo1 0.0000 0.0000 0.0000
Ba1 0.5000 0.5000 0.5000

Results
Total magnetization (μB/f.u.): 0.00
Fermi-level density of states (states/eV/f.u.): 3.69
Electronic total energy (eV per atom): -5.4701
Formation energy from raw total energies (eV/atom): -0.8286